Below is a geometry-optimized AlFeH5 structure, with properties calculated at the PBE level.

Unit cell a=4.243 b=4.243 c=5.904 alpha=72.87 beta=72.87 gamma=97.53
Atoms (fractional coordinates):
1 H 0.706 0.222 0.530
2 H 0.278 0.794 0.970
3 H 0.369 0.287 0.359
4 H 0.631 0.713 0.641
5 H 0.213 0.131 0.141
6 H 0.344 0.156 0.750
7 H 0.722 0.206 0.030
8 H 0.787 0.869 0.859
9 H 0.294 0.778 0.470
10 H 0.656 0.844 0.250
11 Al 0.058 0.442 0.250
12 Al 0.942 0.558 0.750
13 Fe 0.000 0.000 0.000
14 Fe 0.500 0.500 0.500

Values from the calculation:
E: -4.152 eV per atom

Below is a geometry-optimized AlFe2H8 structure, with properties calculated at the PBE level.

Unit cell a=5.488 b=4.277 c=4.277 alpha=69.51 beta=70.33 gamma=70.33
Each line ends with the local moment (μB).
Atoms (fractional coordinates):
1 Al 0.000 0.000 0.000  -0.01
2 H 0.758 0.270 0.270  -0.01
3 H 0.242 0.730 0.730  -0.01
4 H 0.356 0.555 0.200  -0.01
5 H 0.356 0.200 0.555  -0.01
6 H 0.644 0.445 0.800  -0.01
7 H 0.287 0.094 0.094  -0.01
8 H 0.644 0.800 0.445  -0.01
9 H 0.713 0.906 0.906  -0.01
10 Fe 0.559 0.162 0.162  1.11
11 Fe 0.441 0.838 0.838  1.11

Values from the calculation:
E: -4.203 eV per atom

Below is a geometry-optimized Hf2AlFeH structure, with properties calculated at the PBE level.

Unit cell a=4.462 b=4.462 c=3.604 alpha=90.00 beta=90.00 gamma=90.00
Each line ends with the local moment (μB).
Atoms (fractional coordinates):
1 Fe 0.000 0.000 0.500  1.93
2 Al 0.500 0.500 0.500  0.01
3 H 0.000 0.000 0.000  0.00
4 Hf 0.000 0.500 0.000  -0.03
5 Hf 0.500 0.000 0.000  -0.03

Values from the calculation:
E: -7.370 eV per atom

Below is a geometry-optimized HfAlFe2H structure, with properties calculated at the PBE level.

Unit cell a=3.925 b=3.925 c=3.800 alpha=90.00 beta=90.00 gamma=90.00
Each line ends with the local moment (μB).
Atoms (fractional coordinates):
1 Al 0.500 0.500 0.500  -0.03
2 Hf 0.000 0.000 0.500  -0.16
3 Fe 0.500 0.000 0.000  0.82
4 Fe 0.000 0.500 0.000  0.82
5 H 0.000 0.000 0.000  0.00

Values from the calculation:
E: -6.929 eV per atom

Below is a geometry-optimized HoAlFe2H8 structure, with properties calculated at the PBE level.

Unit cell a=4.356 b=4.356 c=6.337 alpha=90.00 beta=90.00 gamma=120.00
Atoms (fractional coordinates):
1 H 0.855 0.145 0.220
2 H 0.145 0.855 0.780
3 H 0.333 0.667 0.602
4 H 0.145 0.289 0.780
5 H 0.667 0.333 0.398
6 H 0.855 0.711 0.220
7 H 0.711 0.855 0.780
8 H 0.289 0.145 0.220
9 Ho 0.000 0.000 0.500
10 Fe 0.667 0.333 0.149
11 Fe 0.333 0.667 0.851
12 Al 0.000 0.000 0.000

Values from the calculation:
E: -4.274 eV per atom

Below is a geometry-optimized Al2FeHIr structure, with properties calculated at the PBE level.

Unit cell a=4.197 b=3.058 c=4.197 alpha=90.00 beta=90.00 gamma=90.00
Atoms (fractional coordinates):
1 Al 0.500 0.000 0.000
2 Al 0.000 0.000 0.500
3 H 0.000 0.000 0.000
4 Ir 0.500 0.500 0.500
5 Fe 0.000 0.500 0.000

Values from the calculation:
E: -6.101 eV per atom